# Ba2SrGe

Ba2SrGe after structural relaxation (PBE, Alexandria).

Cell: 5.3909 5.3909 8.9210 Å, 72.41 72.41 60.00°
Element x y z (fractional)
Ba: 0.2792 0.2792 0.1623
Ba: 0.0508 0.0508 0.8477
Sr: 0.5169 0.5169 0.4493
Ge: 0.6531 0.6531 0.0407

Summary:
E_form = -0.17 eV/atom
Crystal system = trigonal
Space group = R3m


# Ba2Sr2Ge3

Ba2Sr2Ge3 after structural relaxation (PBE, Alexandria).

Cell: 4.5477 7.7619 7.9272 Å, 109.38 90.00 107.03°
Element x y z (fractional)
Ge: 0.5776 0.1551 0.4609
Ge: 0.5000 0.0000 0.0000
Ba: 0.1736 0.3471 0.2623
Ge: 0.4224 0.8449 0.5391
Sr: 0.9239 0.8477 0.2417
Sr: 0.0761 0.1523 0.7583
Ba: 0.8264 0.6529 0.7377

Summary:
E_form = -0.43 eV/atom
Crystal system = monoclinic
Space group = C2/m


# Ba2SrGe2

Ba2SrGe2 after structural relaxation (PBE, Alexandria).

Cell: 9.6865 9.6865 3.7324 Å, 90.00 90.00 90.00°
Element x y z (fractional)
Ge: 0.6734 0.8266 0.5000
Ba: 0.6263 0.1263 0.0000
Sr: 0.5000 0.5000 0.0000
Ge: 0.8266 0.3266 0.5000
Ge: 0.3266 0.1734 0.5000
Ba: 0.3737 0.8737 0.0000
Ba: 0.1263 0.3737 0.0000
Ba: 0.8737 0.6263 0.0000
Sr: 0.0000 0.0000 0.0000
Ge: 0.1734 0.6734 0.5000

Summary:
E_form = -0.27 eV/atom
Crystal system = tetragonal
Space group = P4/mbm


# Ba3SrGe

Ba3SrGe after structural relaxation (PBE, Alexandria).

Cell: 6.5789 6.5789 6.5789 Å, 90.00 90.00 90.00°
Element x y z (fractional)
Ba: 0.0000 0.5000 0.0000
Ge: 0.5000 0.5000 0.5000
Sr: 0.0000 0.0000 0.0000
Ba: 0.5000 0.0000 0.0000
Ba: 0.0000 0.0000 0.5000

Summary:
E_form = 0.86 eV/atom
Crystal system = cubic
Space group = Pm-3m


# Ba2SrGe2

Ba2SrGe2 after structural relaxation (PBE, Alexandria).

Cell: 5.0164 6.6881 6.6844 Å, 63.92 67.96 67.97°
Element x y z (fractional)
Ge: 0.9999 0.8062 0.6940
Ba: 0.3035 0.1964 0.6966
Sr: 0.5000 0.5000 0.0000
Ba: 0.6965 0.8036 0.3034
Ge: 0.0001 0.1938 0.3060

Summary:
E_form = -0.48 eV/atom
Crystal system = orthorhombic
Space group = Immm


# BaSrGe3

BaSrGe3 after structural relaxation (PBE, Alexandria).

Cell: 9.0277 8.8742 8.8742 Å, 62.35 90.00 90.00°
Element x y z (fractional)
Ge: 0.0000 0.3289 0.3289
Ge: 0.0011 0.8248 0.3441
Ge: 0.4989 0.6559 0.1752
Ge: 0.9989 0.1752 0.6559
Sr: 0.7500 0.0003 0.4994
Ba: 0.7500 0.5010 0.4990
Ge: 0.4989 0.8248 0.3441
Ge: 0.5011 0.3441 0.8248
Ge: 0.5000 0.3289 0.3289
Ba: 0.2500 0.0000 0.0000
Sr: 0.7500 0.5006 0.9997
Ba: 0.7500 0.0000 0.0000
Ge: 0.5011 0.1752 0.6559
Ge: 0.0000 0.6711 0.6711
Sr: 0.2500 0.4994 0.0003
Ba: 0.2500 0.4990 0.5010
Ge: 0.9989 0.3441 0.8248
Sr: 0.2500 0.9997 0.5006
Ge: 0.5000 0.6711 0.6711
Ge: 0.0011 0.6559 0.1752

Summary:
E_form = -0.49 eV/atom
Crystal system = orthorhombic
Space group = Cmcm


# BaSr3Ge2

BaSr3Ge2 after structural relaxation (PBE, Alexandria).

Cell: 5.2302 8.4321 9.7188 Å, 90.00 90.00 90.00°
Element x y z (fractional)
Ge: 0.0000 0.7424 0.3502
Ge: 0.5000 0.7608 0.8562
Ge: 0.0000 0.2424 0.6498
Sr: 0.0000 0.3530 0.3243
Sr: 0.0000 0.9752 0.0754
Sr: 0.5000 0.1473 0.8312
Ba: 0.5000 0.0212 0.4235
Sr: 0.0000 0.8530 0.6757
Ba: 0.5000 0.5212 0.5765
Sr: 0.0000 0.4752 0.9246
Sr: 0.5000 0.6473 0.1688
Ge: 0.5000 0.2608 0.1438

Summary:
E_form = -0.53 eV/atom
Crystal system = orthorhombic
Space group = Pmc2_1


# BaSr2Ge

BaSr2Ge after structural relaxation (PBE, Alexandria).

Cell: 5.2911 5.2911 8.1676 Å, 71.10 71.10 60.00°
Element x y z (fractional)
Ge: 0.6602 0.6602 0.0195
Sr: 0.2832 0.2832 0.1503
Ba: 0.5086 0.5086 0.4742
Sr: 0.0480 0.0480 0.8559

Summary:
E_form = -0.24 eV/atom
Crystal system = trigonal
Space group = R3m


Size of the total moment for the records above, in order: 0.00; 0.00; 0.00; 0.21; 0.00; 0.00; 0.00; 0.01 μB/f.u.
Electronic total energy for the records above, in order: -0.09939; -0.12645; -0.11846; -0.05691; -0.12599; -0.14640; -0.11881; -0.09983 hartree per atom